Here is a relaxed ZnCuTc2 crystal from Alexandria via LeMat-Bulk. Energies are from PBE.

For the formation energy, the calculation gives 0.17 eV per atom.

a b c (Å): 2.652 2.652 8.836
angles (deg): 90.00 90.00 113.98
Positions (direct):
1 Cu 0.500 0.500 0.746
2 Zn 0.000 0.000 0.507
3 Tc 0.500 0.500 0.246
4 Tc 0.000 0.000 0.000

***

Here is a relaxed ZnCuTc2 crystal from Alexandria via LeMat-Bulk. Energies are from PBE.

For the formation energy, the calculation gives 0.21 eV per atom.

a b c (Å): 4.764 4.764 4.585
angles (deg): 80.07 80.07 33.12
Positions (direct):
1 Cu 0.750 0.750 0.750
2 Tc 0.499 0.499 0.502
3 Tc 0.001 0.001 0.998
4 Zn 0.250 0.250 0.250

***

Here is a relaxed ZnCuTc2 crystal from Alexandria via LeMat-Bulk. Energies are from PBE.

For the formation energy, the calculation gives 0.07 eV per atom.

a b c (Å): 2.962 2.962 6.439
angles (deg): 90.00 90.00 90.00
Positions (direct):
1 Tc 0.000 0.000 0.012
2 Cu 0.500 0.500 0.736
3 Tc 0.500 0.500 0.235
4 Zn 0.000 0.000 0.517

***

Here is a relaxed ZnCuTc2 crystal from Alexandria via LeMat-Bulk. Energies are from PBE.

For the formation energy, the calculation gives 0.23 eV per atom.

a b c (Å): 4.309 2.590 5.225
angles (deg): 73.52 90.00 90.00
Positions (direct):
1 Tc 0.000 0.995 0.999
2 Tc 0.000 0.505 0.501
3 Zn 0.500 0.250 0.250
4 Cu 0.500 0.750 0.750

***

Here is a relaxed ZnCuTc2 crystal from Alexandria via LeMat-Bulk. Energies are from PBE.

For the formation energy, the calculation gives 0.21 eV per atom.

a b c (Å): 5.024 5.024 5.024
angles (deg): 142.42 133.09 61.60
Positions (direct):
1 Tc 0.998 0.998 0.000
2 Tc 0.502 0.502 0.000
3 Cu 0.750 0.250 0.500
4 Zn 0.250 0.750 0.500

***

Here is a relaxed ZrZnCu2Tc crystal from Alexandria via LeMat-Bulk. Energies are from PBE.

For the formation energy, the calculation gives 0.96 eV per atom.

a b c (Å): 4.255 4.989 4.255
angles (deg): 90.00 90.00 90.00
Positions (direct):
1 Zr 0.000 0.500 0.000
2 Zn 0.000 0.000 0.000
3 Tc 0.500 0.500 0.500
4 Cu 0.500 0.000 0.000
5 Cu 0.000 0.000 0.500

***

- What is the formula in the fourth record?
  ZnCuTc2